Entry 1:
First-principles (GGA-PBE) data for crystalline SrAgSeO6 at its relaxed geometry, as listed in Alexandria.

Values from the calculation:
Crystal system: monoclinic

a = 5.237 Å, b = 5.341 Å, c = 5.329 Å
α = 90.90°, β = 90.46°, γ = 59.34°
Site moments in Bohr magnetons follow the coordinates.
Element x y z (fractional)
Sr  0.009  0.995  0.000  0.00
O  0.597  0.056  0.289  0.19
Ag  0.673  0.664  0.500  0.23
O  0.038  0.362  0.298  0.02
Se  0.340  0.330  0.500  -0.01
O  0.597  0.347  0.711  0.19
O  0.038  0.600  0.702  0.02
O  0.353  0.608  0.310  0.10
O  0.353  0.038  0.690  0.10

---

Entry 2:
First-principles (GGA-PBE) data for crystalline LiCa2Y at its relaxed geometry, as listed in Alexandria.

Values from the calculation:
Distance to the lowest polymorph of the same formula (eV per atom): 0.113
ΔE_f (eV per atom): 0.208
Crystal system: tetragonal

a = 6.426 Å, b = 6.426 Å, c = 6.426 Å
α = 133.55°, β = 133.55°, γ = 67.80°
Element x y z (fractional)
Ca  0.000  0.000  0.000
Y  0.750  0.250  0.500
Ca  0.500  0.500  0.000
Li  0.250  0.750  0.500

---

Entry 3:
First-principles (GGA-PBE) data for crystalline Li4Nb3MoN8 at its relaxed geometry, as listed in Alexandria.

Values from the calculation:
Crystal system: trigonal

a = 6.143 Å, b = 6.226 Å, c = 6.143 Å
α = 119.57°, β = 120.00°, γ = 90.00°
Element x y z (fractional)
N  0.761  0.275  0.014
N  0.239  0.725  0.478
Mo  0.000  0.500  0.000
N  0.259  0.276  0.517
Li  0.000  0.000  0.500
Nb  0.500  0.500  0.000
Li  0.500  0.000  0.500
N  0.761  0.275  0.522
N  0.253  0.275  0.014
Nb  0.500  0.500  0.500
N  0.239  0.725  0.986
Nb  0.000  0.500  0.500
N  0.741  0.724  0.483
Li  0.000  0.000  0.000
Li  0.500  0.000  0.000
N  0.747  0.725  0.986

---

Entry 4:
First-principles (GGA-PBE) data for crystalline CeYTh at its relaxed geometry, as listed in Alexandria.

Values from the calculation:
Distance to the lowest polymorph of the same formula (eV per atom): 0.005
ΔE_f (eV per atom): 0.065
Crystal system: monoclinic

a = 3.466 Å, b = 6.787 Å, c = 9.606 Å
α = 120.17°, β = 90.00°, γ = 104.79°
Site moments in Bohr magnetons follow the coordinates.
Element x y z (fractional)
Th  0.377  0.754  0.168  0.01
Ce  0.886  0.771  0.861  0.17
Y  0.865  0.730  0.488  0.01
Ce  0.114  0.229  0.139  0.17
Y  0.135  0.270  0.512  0.01
Th  0.623  0.246  0.832  0.01

---

Entry 5:
First-principles (GGA-PBE) data for crystalline NpRh2 at its relaxed geometry, as listed in Alexandria.

Values from the calculation:
ΔE_f (eV per atom): -0.200
Crystal system: tetragonal

a = 3.446 Å, b = 3.446 Å, c = 5.076 Å
α = 109.84°, β = 109.84°, γ = 90.00°
Site moments in Bohr magnetons follow the coordinates.
Element x y z (fractional)
Np  0.000  0.000  0.000  3.15
Rh  0.338  0.338  0.677  -0.27
Rh  0.662  0.662  0.323  -0.27

---

Entry 6:
First-principles (GGA-PBE) data for crystalline Hg5Bi3 at its relaxed geometry, as listed in Alexandria.

Values from the calculation:
ΔE_f (eV per atom): 0.069
Crystal system: orthorhombic

a = 3.439 Å, b = 3.439 Å, c = 20.450 Å
α = 90.00°, β = 90.00°, γ = 106.29°
Element x y z (fractional)
Hg  0.500  0.500  0.500
Hg  0.000  0.000  0.381
Hg  0.500  0.500  0.262
Bi  0.000  0.000  0.132
Bi  0.000  0.000  0.868
Hg  0.500  0.500  0.738
Bi  0.500  0.500  0.000
Hg  0.000  0.000  0.619

---

Entry 7:
First-principles (GGA-PBE) data for crystalline PrNd12Rh7 at its relaxed geometry, as listed in Alexandria.

Values from the calculation:
ΔE_f (eV per atom): -0.459
Crystal system: trigonal

a = 9.048 Å, b = 9.048 Å, c = 9.048 Å
α = 107.14°, β = 107.14°, γ = 107.14°
Element x y z (fractional)
Nd  0.842  0.618  0.539
Nd  0.382  0.461  0.158
Nd  0.618  0.539  0.842
Nd  0.158  0.382  0.461
Nd  0.075  0.694  0.225
Rh  0.038  0.359  0.123
Rh  0.359  0.123  0.038
Nd  0.694  0.225  0.075
Rh  0.500  0.500  0.500
Rh  0.123  0.038  0.359
Nd  0.539  0.842  0.618
Nd  0.925  0.306  0.775
Nd  0.306  0.775  0.925
Rh  0.641  0.877  0.962
Nd  0.775  0.925  0.306
Nd  0.461  0.158  0.382
Nd  0.225  0.075  0.694
Rh  0.877  0.962  0.641
Pr  0.000  0.000  0.000
Rh  0.962  0.641  0.877

---

Entry 8:
First-principles (GGA-PBE) data for crystalline TbCeCu at its relaxed geometry, as listed in Alexandria.

Values from the calculation:
Distance to the lowest polymorph of the same formula (eV per atom): 0.000
ΔE_f (eV per atom): -0.042
Crystal system: monoclinic

a = 6.902 Å, b = 6.902 Å, c = 9.663 Å
α = 143.35°, β = 143.35°, γ = 36.73°
Site moments in Bohr magnetons follow the coordinates.
Element x y z (fractional)
Cu  0.991  0.991  0.361  0.00
Tb  0.745  0.745  0.828  0.03
Cu  0.009  0.009  0.639  0.00
Ce  0.355  0.355  0.675  0.35
Ce  0.645  0.645  0.325  0.35
Tb  0.255  0.255  0.172  0.03

---

Number 1: calculated volume 14.25 Å³ per atom, DFT total energy -45.94 eV/f.u.. Number 2: calculated volume 34.26 Å³ per atom, DFT total energy -11.55 eV/f.u.. Number 3: calculated volume 10.45 Å³ per atom, DFT total energy -127.14 eV/f.u.. Number 4: calculated volume 31.11 Å³ per atom, DFT total energy -19.62 eV/f.u.. Number 5: calculated volume 17.62 Å³ per atom, DFT total energy -28.24 eV/f.u.. Number 6: calculated volume 29.02 Å³ per atom, DFT total energy -12.60 eV/f.u.. Number 7: calculated volume 30.73 Å³ per atom, DFT total energy -122.64 eV/f.u.. Number 8: calculated volume 24.51 Å³ per atom, DFT total energy -14.79 eV/f.u..